9
Lattice="4.017 0.000 0.000 0.000 6.514 3.797 0.000 -6.514 3.797" Properties=species:S:1:pos:R:3 comment="LaTb2Cd3Ir2Pt (PBE, relaxed)" formation_enthalpy_0k_ev_per_atom=-0.6612 energy_ev_per_atom=-5.1760 pbc="T T T"
La 0.000 0.000 0.000
Tb 0.000 -2.666 4.677
Tb 0.000 2.666 4.677
Cd 2.009 -1.682 2.183
Cd 2.009 1.682 2.183
Cd 2.009 0.000 5.045
Ir 2.009 -4.324 3.143
Ir 2.009 4.324 3.143
Pt 0.000 0.000 3.171


16
Lattice="4.170 0.000 0.000 0.000 7.295 0.000 0.000 0.000 10.235" Properties=species:S:1:pos:R:3 comment="BaAl5CuPt (PBE, relaxed)" energy_ev_per_atom=-4.3277 pbc="T T T"
Ba 0.000 0.000 0.000
Ba 2.085 3.648 5.118
Al 0.000 1.364 6.753
Al 0.000 1.376 3.515
Al 0.000 3.648 0.095
Al 0.000 5.919 3.515
Al 0.000 5.931 6.753
Al 2.085 0.000 5.212
Al 2.085 2.271 8.632
Al 2.085 2.284 1.636
Al 2.085 5.011 1.636
Al 2.085 5.024 8.632
Cu 0.000 3.648 2.451
Cu 2.085 0.000 7.569
Pt 0.000 3.648 7.914
Pt 2.085 0.000 2.797